{"formula": "Ca8SnGe2", "functional": "GGA-PBE", "state": "optimized geometry", "total_energy_ev_per_atom": -3.08, "lattice_angstrom": [[5.122, 0.000, 0.000], [0.000, 7.436, 0.367], [-2.561, -2.736, 9.001]], "species": ["Ca", "Ca", "Ca", "Ca", "Ca", "Ca", "Ca", "Ca", "Sn", "Ge", "Ge"], "frac_coords": [[0.406, 0.546, 0.811], [0.669, 0.959, 0.338], [0.795, 0.682, 0.589], [0.963, 0.222, 0.926], [0.205, 0.318, 0.411], [0.331, 0.041, 0.662], [0.594, 0.454, 0.189], [0.037, 0.778, 0.074], [0.500, 0.000, 0.000], [0.804, 0.284, 0.608], [0.196, 0.716, 0.392]]}